[1]
# PBE-GGA Sn3MoPt, optimized geometry
data_Sn3MoPt
_space_group_name_H-M_alt 'P 1'
_space_group_IT_number 1
_cell_length_a 5.1731
_cell_length_b 5.1731
_cell_length_c 5.1731
_cell_angle_alpha 90.00
_cell_angle_beta 90.00
_cell_angle_gamma 90.00
loop_
_space_group_symop_operation_xyz
'x,y,z'
loop_
_atom_site_label
_atom_site_fract_x
_atom_site_fract_y
_atom_site_fract_z
Sn1 0.0000 0.0000 0.5000
Sn2 0.0000 0.5000 0.0000
Sn3 0.5000 0.0000 0.0000
Mo1 0.0000 0.0000 0.0000
Pt1 0.5000 0.5000 0.5000
# Calculated volume: 27.688 A^3/atom
# M_tot: 1.1 μB/f.u.
# ΔH_f (0 K): 3.71 eV/f.u.
# Energy relative to the lowest polymorph listed for this composition: 0 meV per atom
# Energy: -25.17 eV per formula unit



[2]
# PBE-GGA Ba2TeIrN, optimized geometry
data_Ba2TeIrN
_space_group_name_H-M_alt 'P 1'
_space_group_IT_number 1
_cell_length_a 6.4064
_cell_length_b 6.4064
_cell_length_c 4.1787
_cell_angle_alpha 90.00
_cell_angle_beta 90.00
_cell_angle_gamma 90.00
loop_
_space_group_symop_operation_xyz
'x,y,z'
loop_
_atom_site_label
_atom_site_fract_x
_atom_site_fract_y
_atom_site_fract_z
Ba1 0.0000 0.5000 0.0000
Ba2 0.5000 0.0000 0.0000
Te1 0.0000 0.0000 0.0000
Ir1 0.5000 0.5000 0.5000
N1 0.0000 0.0000 0.5000
# Calculated volume: 34.300 A^3/atom
# M_tot: 1.1 μB/f.u.
# Energy relative to the lowest polymorph listed for this composition: 1581 meV per atom
# Energy relative to the elements, uncorrected: 673 meV/atom
# Energy: -20.81 eV per formula unit



[3]
# PBE-GGA IrOsW2Br, optimized geometry
data_IrOsW2Br
_space_group_name_H-M_alt 'P 1'
_space_group_IT_number 1
_cell_length_a 4.8361
_cell_length_b 4.8361
_cell_length_c 4.7549
_cell_angle_alpha 90.00
_cell_angle_beta 90.00
_cell_angle_gamma 90.00
loop_
_space_group_symop_operation_xyz
'x,y,z'
loop_
_atom_site_label
_atom_site_fract_x
_atom_site_fract_y
_atom_site_fract_z
Ir1 0.0000 0.0000 0.0000
Os1 0.0000 0.0000 0.5000
W1 0.0000 0.5000 0.5000
W2 0.5000 0.0000 0.5000
Br1 0.5000 0.5000 0.0000
# Calculated volume: 22.241 A^3/atom
# M_tot: 0.0 μB/f.u.
# Energy relative to the elements, uncorrected: 2105 meV/atom
# Energy: -37.15 eV per formula unit



[4]
# PBE-GGA Cs3AcPr2Se6, optimized geometry
data_Cs3AcPr2Se6
_space_group_name_H-M_alt 'P 1'
_space_group_IT_number 1
_cell_length_a 7.8021
_cell_length_b 7.8021
_cell_length_c 8.8163
_cell_angle_alpha 98.49
_cell_angle_beta 98.49
_cell_angle_gamma 119.99
loop_
_space_group_symop_operation_xyz
'x,y,z'
loop_
_atom_site_label
_atom_site_fract_x
_atom_site_fract_y
_atom_site_fract_z
Cs1 0.0000 0.0000 0.0000
Cs2 0.3344 0.6656 0.0000
Cs3 0.6656 0.3344 0.0000
Ac1 0.5000 0.5000 0.5000
Pr1 0.1667 0.8333 0.5000
Pr2 0.8333 0.1667 0.5000
Se1 0.0930 0.4356 0.3068
Se2 0.2217 0.2217 0.6927
Se3 0.4356 0.0930 0.3068
Se4 0.5644 0.9070 0.6932
Se5 0.7783 0.7783 0.3073
Se6 0.9070 0.5644 0.6932
# Calculated volume: 37.007 A^3/atom
# M_tot: 0.0 μB/f.u.
# Energy relative to the elements, uncorrected: -1751 meV/atom
# Energy: -58.15 eV per formula unit



[5]
# PBE-GGA RbZnCuCl2, optimized geometry
data_RbZnCuCl2
_space_group_name_H-M_alt 'P 1'
_space_group_IT_number 1
_cell_length_a 4.7772
_cell_length_b 4.7772
_cell_length_c 8.8599
_cell_angle_alpha 90.00
_cell_angle_beta 90.00
_cell_angle_gamma 90.00
loop_
_space_group_symop_operation_xyz
'x,y,z'
loop_
_atom_site_label
_atom_site_fract_x
_atom_site_fract_y
_atom_site_fract_z
Rb1 0.0000 0.0000 0.0000
Zn1 0.0000 0.0000 0.5000
Cu1 0.5000 0.5000 0.0000
Cl1 0.0000 0.5000 0.5000
Cl2 0.5000 0.0000 0.5000
# Calculated volume: 40.440 A^3/atom
# M_tot: 0.2 μB/f.u.
# Energy relative to the elements, uncorrected: -186 meV/atom
# Energy: -10.96 eV per formula unit



[6]
# PBE-GGA TbHoEr2Sc2, optimized geometry
data_TbHoEr2Sc2
_space_group_name_H-M_alt 'P 1'
_space_group_IT_number 1
_cell_length_a 6.7668
_cell_length_b 9.3856
_cell_length_c 5.4344
_cell_angle_alpha 90.00
_cell_angle_beta 90.00
_cell_angle_gamma 90.00
loop_
_space_group_symop_operation_xyz
'x,y,z'
loop_
_atom_site_label
_atom_site_fract_x
_atom_site_fract_y
_atom_site_fract_z
Tb1 0.0000 0.0000 0.0000
Tb2 0.5000 0.5000 0.5000
Ho1 0.0000 0.5000 0.5000
Ho2 0.5000 0.0000 0.0000
Er1 0.2491 0.3333 0.0000
Er2 0.2509 0.8333 0.5000
Er3 0.7491 0.1667 0.5000
Er4 0.7509 0.6667 0.0000
Sc1 0.2498 0.1667 0.5000
Sc2 0.2502 0.6667 0.0000
Sc3 0.7498 0.3333 0.0000
Sc4 0.7502 0.8333 0.5000
# Calculated volume: 28.762 A^3/atom
# M_tot: 0.0 μB/f.u.
# ΔH_f (0 K): 0.45 eV/f.u.
# Energy: -30.55 eV per formula unit



[7]
# PBE-GGA Cs2SrH2, optimized geometry
data_Cs2SrH2
_space_group_name_H-M_alt 'P 1'
_space_group_IT_number 1
_cell_length_a 5.5703
_cell_length_b 5.5703
_cell_length_c 14.5311
_cell_angle_alpha 90.00
_cell_angle_beta 90.00
_cell_angle_gamma 90.00
loop_
_space_group_symop_operation_xyz
'x,y,z'
loop_
_atom_site_label
_atom_site_fract_x
_atom_site_fract_y
_atom_site_fract_z
Cs1 0.0000 0.0000 0.1760
Cs2 0.0000 0.0000 0.8240
Cs3 0.5000 0.5000 0.3240
Cs4 0.5000 0.5000 0.6760
Sr1 0.0000 0.0000 0.5000
Sr2 0.5000 0.5000 0.0000
H1 0.0000 0.5000 0.2500
H2 0.0000 0.5000 0.7500
H3 0.5000 0.0000 0.2500
H4 0.5000 0.0000 0.7500
# Calculated volume: 45.087 A^3/atom
# M_tot: 0.0 μB/f.u.
# Energy relative to the lowest polymorph listed for this composition: 78 meV per atom
# Energy: -9.26 eV per formula unit



[8]
# PBE-GGA Pm2ThSc2, optimized geometry
data_Pm2ThSc2
_space_group_name_H-M_alt 'P 1'
_space_group_IT_number 1
_cell_length_a 3.5232
_cell_length_b 3.5232
_cell_length_c 24.0696
_cell_angle_alpha 90.00
_cell_angle_beta 90.00
_cell_angle_gamma 90.00
loop_
_space_group_symop_operation_xyz
'x,y,z'
loop_
_atom_site_label
_atom_site_fract_x
_atom_site_fract_y
_atom_site_fract_z
Pm1 0.0000 0.0000 0.1952
Pm2 0.0000 0.0000 0.8048
Pm3 0.5000 0.5000 0.3048
Pm4 0.5000 0.5000 0.6952
Th1 0.0000 0.0000 0.0000
Th2 0.5000 0.5000 0.5000
Sc1 0.0000 0.0000 0.4069
Sc2 0.0000 0.0000 0.5931
Sc3 0.5000 0.5000 0.0931
Sc4 0.5000 0.5000 0.9069
# Calculated volume: 29.878 A^3/atom
# M_tot: 0.0 μB/f.u.
# ΔH_f (0 K): 0.17 eV/f.u.
# Energy relative to the lowest polymorph listed for this composition: 0 meV per atom
# Energy: -29.41 eV per formula unit